No. 1
{"formula": "Be2OsRu", "functional": "PBEsol", "state": "optimized geometry", "formation_enthalpy_0k_ev_per_atom": -0.22, "dft_energy_ev_per_atom": -7.817, "total_magnetization_mub_per_fu": 0.00, "de_polymorph_ev_per_fu": 0.00, "lattice": [[-0.279, -2.270, 1.547], [2.683, 0.108, 0.643], [-1.204, 3.205, 4.485]], "species": ["Be", "Be", "Os", "Ru"], "fractional_positions": [[0.500, 0.500, 0.217], [0.000, 0.000, 0.031], [0.000, 0.000, 0.475], [0.500, 0.500, 0.777]]}

=====

No. 2
{"formula": "BaIr2Cl", "functional": "PBEsol", "state": "optimized geometry", "dft_energy_ev_per_atom": -5.711, "total_magnetization_mub_per_fu": 0.00, "de_polymorph_ev_per_fu": 1.60, "lattice": [[-0.792, 3.647, -0.932], [-3.492, -0.356, 1.573], [2.236, 1.862, 5.385]], "species": ["Ir", "Ir", "Cl", "Ba"], "fractional_positions": [[0.000, 0.500, 0.000], [0.500, 0.000, 0.000], [0.000, 0.000, 0.500], [0.500, 0.500, 0.500]]}

=====

No. 3
{"formula": "Ba3MnN3", "functional": "PBEsol", "state": "optimized geometry", "dft_energy_ev_per_atom": -6.729, "total_magnetization_mub_per_fu": 0.91, "lattice": [[-1.432, 5.002, 1.694], [-7.209, -0.856, -3.567], [1.010, -2.314, 7.684]], "species": ["Ba", "Ba", "Ba", "Ba", "Ba", "Ba", "N", "N", "N", "N", "N", "N", "Mn", "Mn"], "fractional_positions": [[0.750, 0.637, 0.913], [0.750, 0.087, 0.724], [0.250, 0.363, 0.087], [0.750, 0.276, 0.363], [0.250, 0.724, 0.637], [0.250, 0.913, 0.276], [0.250, 0.131, 0.683], [0.750, 0.449, 0.131], [0.750, 0.683, 0.551], [0.250, 0.551, 0.869], [0.250, 0.317, 0.449], [0.750, 0.869, 0.317], [0.250, 0.333, 0.667], [0.750, 0.667, 0.333]]}

=====

No. 4
{"formula": "AlCr4Hg", "functional": "PBEsol", "state": "optimized geometry", "formation_enthalpy_0k_ev_per_atom": 0.38, "dft_energy_ev_per_atom": -7.228, "total_magnetization_mub_per_fu": 0.00, "lattice": [[-2.944, 1.904, -3.314], [-4.705, 0.489, 0.948], [-1.880, 4.391, 0.681]], "species": ["Al", "Cr", "Cr", "Cr", "Cr", "Hg"], "fractional_positions": [[0.000, 0.000, 0.000], [0.625, 0.625, 0.126], [0.126, 0.625, 0.625], [0.625, 0.625, 0.625], [0.625, 0.126, 0.625], [0.250, 0.250, 0.250]]}

=====

No. 5
{"formula": "InSi3N", "functional": "PBEsol", "state": "optimized geometry", "dft_energy_ev_per_atom": -5.223, "total_magnetization_mub_per_fu": 0.00, "lattice": [[-1.343, 3.686, -1.450], [0.147, -1.484, -3.908], [-3.958, -1.306, 0.347]], "species": ["N", "Si", "Si", "Si", "In"], "fractional_positions": [[0.000, 0.000, 0.000], [0.000, 0.500, 0.000], [0.500, 0.000, 0.000], [0.000, 0.000, 0.500], [0.500, 0.500, 0.500]]}

=====

No. 6
{"formula": "Eu3Bi", "functional": "PBEsol", "state": "optimized geometry", "formation_enthalpy_0k_ev_per_atom": -0.55, "dft_energy_ev_per_atom": -9.540, "total_magnetization_mub_per_fu": 22.19, "lattice": [[-1.287, 3.397, 4.462], [-0.917, -5.744, 4.109], [6.417, 3.052, -0.473]], "species": ["Eu", "Eu", "Eu", "Eu", "Eu", "Eu", "Bi", "Bi"], "fractional_positions": [[0.250, 0.174, 0.347], [0.250, 0.653, 0.826], [0.750, 0.826, 0.174], [0.750, 0.826, 0.653], [0.750, 0.347, 0.174], [0.250, 0.174, 0.826], [0.750, 0.333, 0.667], [0.250, 0.667, 0.333]]}

=====

No. 7
{"formula": "Ru3WF", "functional": "PBEsol", "state": "optimized geometry", "dft_energy_ev_per_atom": -8.253, "total_magnetization_mub_per_fu": 0.00, "lattice": [[4.079, 0.000, 0.000], [0.000, 4.079, 0.000], [0.000, 0.000, 4.079]], "species": ["Ru", "Ru", "Ru", "F", "W"], "fractional_positions": [[0.000, 0.500, 0.000], [0.000, 0.000, 0.500], [0.500, 0.000, 0.000], [0.000, 0.000, 0.000], [0.500, 0.500, 0.500]]}

=====

No. 8
{"formula": "MgZrCd2", "functional": "PBEsol", "state": "optimized geometry", "formation_enthalpy_0k_ev_per_atom": -0.10, "dft_energy_ev_per_atom": -3.400, "total_magnetization_mub_per_fu": 0.00, "lattice": [[-1.500, 0.767, 2.538], [-3.686, -2.452, -1.438], [2.874, -5.154, 1.421]], "species": ["Zr", "Cd", "Cd", "Mg"], "fractional_positions": [[0.200, 0.500, 0.776], [0.946, 0.500, 0.267], [0.804, 0.000, 0.984], [0.549, 0.000, 0.472]]}

=====

No. 9
{"formula": "YLu3", "functional": "PBEsol", "state": "optimized geometry", "formation_enthalpy_0k_ev_per_atom": 0.00, "dft_energy_ev_per_atom": -5.356, "total_magnetization_mub_per_fu": 0.00, "lattice": [[5.420, 0.000, 0.000], [0.000, 6.989, 0.000], [0.000, -3.494, 6.052]], "species": ["Y", "Y", "Lu", "Lu", "Lu", "Lu", "Lu", "Lu"], "fractional_positions": [[0.750, 0.333, 0.667], [0.250, 0.667, 0.333], [0.750, 0.331, 0.165], [0.750, 0.835, 0.669], [0.250, 0.165, 0.331], [0.750, 0.835, 0.165], [0.250, 0.165, 0.835], [0.250, 0.669, 0.835]]}

=====

No. 10
{"formula": "YSi2Rh3", "functional": "PBEsol", "state": "optimized geometry", "dft_energy_ev_per_atom": -8.192, "total_magnetization_mub_per_fu": 0.00, "de_polymorph_ev_per_fu": 0.27, "lattice": [[-1.370, 3.262, 0.908], [-5.033, -2.049, -0.234], [2.777, -0.135, 4.675]], "species": ["Si", "Si", "Rh", "Rh", "Rh", "Y"], "fractional_positions": [[0.000, 0.333, 0.667], [0.000, 0.667, 0.333], [0.500, 0.000, 0.500], [0.500, 0.500, 0.500], [0.500, 0.500, 0.000], [0.000, 0.000, 0.000]]}

=====

No. 11
{"formula": "MgOs2", "functional": "PBEsol", "state": "optimized geometry", "formation_enthalpy_0k_ev_per_atom": 0.83, "dft_energy_ev_per_atom": -7.884, "total_magnetization_mub_per_fu": 0.00, "lattice": [[-3.174, 2.934, -1.634], [-0.582, 0.290, -4.883], [-4.585, -1.681, -0.647]], "species": ["Mg", "Mg", "Os", "Os", "Os", "Os"], "fractional_positions": [[0.750, 0.000, 0.000], [0.250, 0.000, 0.000], [0.360, 0.500, 0.780], [0.140, 0.220, 0.500], [0.640, 0.500, 0.220], [0.860, 0.780, 0.500]]}

=====

No. 12
{"formula": "Ba3Pt", "functional": "PBEsol", "state": "optimized geometry", "formation_enthalpy_0k_ev_per_atom": -0.39, "dft_energy_ev_per_atom": -3.745, "total_magnetization_mub_per_fu": 0.00, "lattice": [[4.493, 0.000, 0.000], [0.000, 6.358, -0.352], [0.000, -2.795, 7.003]], "species": ["Ba", "Ba", "Ba", "Pt"], "fractional_positions": [[0.500, 0.000, 0.500], [0.000, 0.349, 0.197], [0.000, 0.651, 0.803], [0.500, 0.500, 0.500]]}